DFT (PBE with a Hubbard U) results for an optimized crystal structure of CaCrBiO5.

abc: 5.8118 11.8497 8.2057
angles: 90.00 109.45 90.00
Space group P2_1/c (No. 14)
Asymmetric unit:
Ca 0.0454 0.0891 0.1881 [4 per cell]
Cr 0.3322 0.6449 0.0278 [4 per cell]
Bi 0.4667 0.0941 0.8329 [4 per cell]
O 0.1930 0.7241 0.5025 [4 per cell]
O 0.2509 0.5575 0.1725 [4 per cell]
O 0.2624 0.5755 0.8316 [4 per cell]
O 0.2702 0.0248 0.0122 [4 per cell]
O 0.3677 0.1819 0.3866 [4 per cell]

E above lowest polymorph	8	meV per atom
uncorrected energy	-6.580	eV per atom
crystal system	monoclinic